The following is a GGA-PBEsol calculation of Cd2PtAu after structural relaxation, from Alexandria via LeMat-Bulk.

Values from the calculation:
The value obtained for the total energy is -0.2612 Ry/atom. As for the formation energy: -0.234 eV per atom.

Lattice parameters (Å, degrees): 2.9938 3.9318 5.8867 90.00 90.00 90.00
Closest atoms and distances in Å follow each position.
Sites, in units of the cell vectors:
Cd (0.0000, 0.0000, 0.2436)  4 Pt 2.86, 4 Cd 2.87-3.02, 4 Au 2.90
Cd (0.0000, 0.0000, 0.7564)  4 Pt 2.86, 4 Cd 2.87-3.02, 4 Au 2.90
Pt (0.5000, 0.5000, 0.0000)  8 Cd 2.86, 2 Au 2.94, 2 Pt 2.99
Au (0.5000, 0.5000, 0.5000)  8 Cd 2.90, 2 Pt 2.94, 2 Au 2.99